Below is an optimized crystal structure of MnRuPt2, with properties calculated at the GGA-PBE level.

The value obtained for the energy is -0.55411 Ry per atom. The mass density is 15.1 g/cm3. The calculation puts the formation enthalpy at 0 K at 0.093 eV per atom.

It has space group F-43m (No. 216), with a = 6.218 Å, b = 6.218 Å, c = 6.218 Å, α = 90.00°, β = 90.00° and γ = 90.00°. The asymmetric unit holds Mn at (0.000, 0.000, 0.000), Ru at (0.250, 0.250, 0.250), Pt at (0.000, 0.000, 0.500) and Pt at (0.250, 0.250, 0.750).